[1]
The following is a PBE calculation of an optimized crystal structure of TiMoP2Cl, from the Alexandria database.

It has space group P4/mmm (No. 123), with a = 4.784 Å, b = 4.784 Å, c = 4.557 Å, α = 90.00°, β = 90.00° and γ = 90.00°. The distinct sites, in fractional coordinates, are Ti at (0.000, 0.000, 0.000), Mo at (0.500, 0.500, 0.500), P at (0.000, 0.500, 0.000) and Cl at (0.000, 0.000, 0.500).

The polymorph energy (0 for the lowest one) is 0 meV per atom. Its uncorrected formation energy is 0.48 eV/atom.


[2]
The following is a PBE calculation of an optimized crystal structure of TlMo2PCl, from the Alexandria database.

It has space group P4/mmm (No. 123), with a = 4.620 Å, b = 4.620 Å, c = 6.067 Å, α = 90.00°, β = 90.00° and γ = 90.00°. The distinct sites, in fractional coordinates, are Tl at (0.000, 0.000, 0.000), Mo at (0.000, 0.500, 0.500), P at (0.500, 0.500, 0.500) and Cl at (0.500, 0.500, 0.000).

Its uncorrected formation energy is 0.85 eV/atom.


[3]
The following is a PBE calculation of an optimized crystal structure of VMoP2Cl, from the Alexandria database.

It has space group P4/mmm (No. 123), with a = 4.663 Å, b = 4.663 Å, c = 4.849 Å, α = 90.00°, β = 90.00° and γ = 90.00°. The distinct sites, in fractional coordinates, are V at (0.000, 0.000, 0.000), Mo at (0.500, 0.500, 0.500), P at (0.000, 0.500, 0.500) and Cl at (0.500, 0.500, 0.000).

The polymorph energy (0 for the lowest one) is 205 meV per atom. Its uncorrected formation energy is 0.85 eV/atom.


[4]
The following is a PBE calculation of an optimized crystal structure of VMoP2Cl, from the Alexandria database.

It has space group P4/mmm (No. 123), with a = 4.588 Å, b = 4.588 Å, c = 4.644 Å, α = 90.00°, β = 90.00° and γ = 90.00°. The distinct sites, in fractional coordinates, are V at (0.000, 0.000, 0.000), Mo at (0.500, 0.500, 0.500), P at (0.000, 0.500, 0.000) and Cl at (0.000, 0.000, 0.500).

The polymorph energy (0 for the lowest one) is 0 meV per atom. Its uncorrected formation energy is 0.64 eV/atom.


[5]
The following is a PBE calculation of an optimized crystal structure of MoPWCl2, from the Alexandria database.

It has space group P4/mmm (No. 123), with a = 4.729 Å, b = 4.729 Å, c = 4.882 Å, α = 90.00°, β = 90.00° and γ = 90.00°. The distinct sites, in fractional coordinates, are Mo at (0.000, 0.000, 0.000), P at (0.500, 0.500, 0.000), W at (0.500, 0.500, 0.500) and Cl at (0.000, 0.500, 0.500).

The polymorph energy (0 for the lowest one) is 0 meV per atom. Its uncorrected formation energy is 0.93 eV/atom.


[6]
The following is a PBE calculation of an optimized crystal structure of MoPWCl2, from the Alexandria database.

It has space group P4/mmm (No. 123), with a = 4.670 Å, b = 4.670 Å, c = 5.027 Å, α = 90.00°, β = 90.00° and γ = 90.00°. The distinct sites, in fractional coordinates, are Mo at (0.000, 0.000, 0.000), P at (0.000, 0.000, 0.500), W at (0.500, 0.500, 0.500) and Cl at (0.000, 0.500, 0.000).

The polymorph energy (0 for the lowest one) is 249 meV per atom. Its uncorrected formation energy is 1.18 eV/atom.


[7]
The following is a PBE calculation of an optimized crystal structure of MoPWCl2, from the Alexandria database.

It has space group P4/mmm (No. 123), with a = 4.460 Å, b = 4.460 Å, c = 5.330 Å, α = 90.00°, β = 90.00° and γ = 90.00°. The distinct sites, in fractional coordinates, are Mo at (0.000, 0.000, 0.000), P at (0.500, 0.500, 0.500), W at (0.000, 0.000, 0.500) and Cl at (0.000, 0.500, 0.000).

The polymorph energy (0 for the lowest one) is 261 meV per atom. Its uncorrected formation energy is 1.19 eV/atom.


[8]
The following is a PBE calculation of an optimized crystal structure of YMoP2Cl, from the Alexandria database.

It has space group P4/mmm (No. 123), with a = 5.310 Å, b = 5.310 Å, c = 5.042 Å, α = 90.00°, β = 90.00° and γ = 90.00°. The distinct sites, in fractional coordinates, are Y at (0.000, 0.000, 0.000), Mo at (0.500, 0.500, 0.500), P at (0.000, 0.500, 0.000) and Cl at (0.000, 0.000, 0.500).

The polymorph energy (0 for the lowest one) is 889 meV per atom. Its uncorrected formation energy is 0.63 eV/atom.


[9]
The following is a PBE calculation of an optimized crystal structure of YMoPCl2, from the Alexandria database.

It has space group P4/mmm (No. 123), with a = 4.967 Å, b = 4.967 Å, c = 5.599 Å, α = 90.00°, β = 90.00° and γ = 90.00°. The distinct sites, in fractional coordinates, are Y at (0.000, 0.000, 0.000), Mo at (0.500, 0.500, 0.500), P at (0.000, 0.000, 0.500) and Cl at (0.000, 0.500, 0.000).

The polymorph energy (0 for the lowest one) is 211 meV per atom. Its uncorrected formation energy is -0.05 eV/atom.


[10]
The following is a PBE calculation of an optimized crystal structure of YMoP2Cl, from the Alexandria database.

It has space group P4/mmm (No. 123), with a = 4.673 Å, b = 4.673 Å, c = 4.890 Å, α = 90.00°, β = 90.00° and γ = 90.00°. The distinct sites, in fractional coordinates, are Y at (0.000, 0.000, 0.000), Mo at (0.500, 0.500, 0.500), P at (0.000, 0.500, 0.500) and Cl at (0.500, 0.500, 0.000).

The polymorph energy (0 for the lowest one) is 0 meV per atom. Its uncorrected formation energy is -0.26 eV/atom.


[11]
The following is a PBE calculation of an optimized crystal structure of YMoPCl2, from the Alexandria database.

It has space group P4/mmm (No. 123), with a = 4.729 Å, b = 4.729 Å, c = 4.947 Å, α = 90.00°, β = 90.00° and γ = 90.00°. The distinct sites, in fractional coordinates, are Y at (0.000, 0.000, 0.000), Mo at (0.500, 0.500, 0.500), P at (0.500, 0.500, 0.000) and Cl at (0.000, 0.500, 0.500).

The polymorph energy (0 for the lowest one) is 0 meV per atom. Its uncorrected formation energy is -0.26 eV/atom.


[12]
The following is a PBE calculation of an optimized crystal structure of ZnMoPCl2, from the Alexandria database.

It has space group P4/mmm (No. 123), with a = 4.877 Å, b = 4.877 Å, c = 4.748 Å, α = 90.00°, β = 90.00° and γ = 90.00°. The distinct sites, in fractional coordinates, are Zn at (0.000, 0.000, 0.000), Mo at (0.500, 0.500, 0.500), P at (0.500, 0.500, 0.000) and Cl at (0.000, 0.500, 0.500).

The polymorph energy (0 for the lowest one) is 0 meV per atom. Its uncorrected formation energy is 0.10 eV/atom.


[13]
The following is a PBE calculation of an optimized crystal structure of ZnMoPCl2, from the Alexandria database.

It has space group P4/mmm (No. 123), with a = 4.671 Å, b = 4.671 Å, c = 5.019 Å, α = 90.00°, β = 90.00° and γ = 90.00°. The distinct sites, in fractional coordinates, are Zn at (0.000, 0.000, 0.000), Mo at (0.500, 0.500, 0.500), P at (0.000, 0.000, 0.500) and Cl at (0.000, 0.500, 0.000).

The polymorph energy (0 for the lowest one) is 550 meV per atom. Its uncorrected formation energy is 0.65 eV/atom.


[14]
The following is a PBE calculation of an optimized crystal structure of ZrMoPCl2, from the Alexandria database.

It has space group P4/mmm (No. 123), with a = 4.920 Å, b = 4.920 Å, c = 5.256 Å, α = 90.00°, β = 90.00° and γ = 90.00°. The distinct sites, in fractional coordinates, are Zr at (0.000, 0.000, 0.000), Mo at (0.500, 0.500, 0.500), P at (0.000, 0.000, 0.500) and Cl at (0.000, 0.500, 0.000).

The polymorph energy (0 for the lowest one) is 0 meV per atom. Its uncorrected formation energy is 0.14 eV/atom.


[15]
The following is a PBE calculation of an optimized crystal structure of ZrMoPCl2, from the Alexandria database.

It has space group P4/mmm (No. 123), with a = 4.660 Å, b = 4.660 Å, c = 4.901 Å, α = 90.00°, β = 90.00° and γ = 90.00°. The distinct sites, in fractional coordinates, are Zr at (0.000, 0.000, 0.000), Mo at (0.500, 0.500, 0.500), P at (0.500, 0.500, 0.000) and Cl at (0.000, 0.500, 0.500).

The polymorph energy (0 for the lowest one) is 200 meV per atom. Its uncorrected formation energy is 0.34 eV/atom.


[16]
The following is a PBE calculation of an optimized crystal structure of Mo4PbCl, from the Alexandria database.

It has space group F-43m (No. 216), with a = 7.671 Å, b = 7.671 Å, c = 7.671 Å, α = 90.00°, β = 90.00° and γ = 90.00°. The distinct sites, in fractional coordinates, are Mo at (0.119, 0.119, 0.381), Pb at (0.000, 0.000, 0.000) and Cl at (0.250, 0.250, 0.750).

Its uncorrected formation energy is 0.89 eV/atom.


[17]
The following is a PBE calculation of an optimized crystal structure of MoPbCl4, from the Alexandria database.

It has space group F-43m (No. 216), with a = 8.442 Å, b = 8.442 Å, c = 8.442 Å, α = 90.00°, β = 90.00° and γ = 90.00°. The distinct sites, in fractional coordinates, are Mo at (0.000, 0.000, 0.000), Pb at (0.250, 0.250, 0.750) and Cl at (0.126, 0.126, 0.374).

Its uncorrected formation energy is 0.69 eV/atom.


[18]
The following is a PBE calculation of an optimized crystal structure of MoPbCl3, from the Alexandria database.

It has space group Pm-3m (No. 221), with a = 5.057 Å, b = 5.057 Å, c = 5.057 Å, α = 90.00°, β = 90.00° and γ = 90.00°. The distinct sites, in fractional coordinates, are Mo at (0.000, 0.000, 0.000), Pb at (0.500, 0.500, 0.500) and Cl at (0.000, 0.000, 0.500).

The polymorph energy (0 for the lowest one) is 0 meV per atom. Its uncorrected formation energy is -0.17 eV/atom.


[19]
The following is a PBE calculation of an optimized crystal structure of MoPb4Cl, from the Alexandria database.

It has space group F-43m (No. 216), with a = 9.013 Å, b = 9.013 Å, c = 9.013 Å, α = 90.00°, β = 90.00° and γ = 90.00°. The distinct sites, in fractional coordinates, are Mo at (0.000, 0.000, 0.000), Pb at (0.126, 0.126, 0.626) and Cl at (0.250, 0.250, 0.250).

Its uncorrected formation energy is 0.67 eV/atom.


[20]
The following is a PBE calculation of an optimized crystal structure of MoPbCl3, from the Alexandria database.

It has space group Pm-3m (No. 221), with a = 5.612 Å, b = 5.612 Å, c = 5.612 Å, α = 90.00°, β = 90.00° and γ = 90.00°. The distinct sites, in fractional coordinates, are Mo at (0.000, 0.000, 0.000), Pb at (0.500, 0.500, 0.500) and Cl at (0.000, 0.500, 0.500).

The polymorph energy (0 for the lowest one) is 338 meV per atom. Its uncorrected formation energy is 0.17 eV/atom.


[21]
The following is a PBE calculation of an optimized crystal structure of Mo2PdPbCl, from the Alexandria database.

It has space group P4/mmm (No. 123), with a = 5.184 Å, b = 5.184 Å, c = 5.214 Å, α = 90.00°, β = 90.00° and γ = 90.00°. The distinct sites, in fractional coordinates, are Mo at (0.000, 0.500, 0.000), Pd at (0.000, 0.000, 0.000), Pb at (0.000, 0.000, 0.500) and Cl at (0.500, 0.500, 0.500).

Its uncorrected formation energy is 1.42 eV/atom.


[22]
The following is a PBE calculation of an optimized crystal structure of TaMoPb2Cl, from the Alexandria database.

It has space group P4/mmm (No. 123), with a = 5.482 Å, b = 5.482 Å, c = 4.755 Å, α = 90.00°, β = 90.00° and γ = 90.00°. The distinct sites, in fractional coordinates, are Ta at (0.000, 0.000, 0.000), Mo at (0.000, 0.000, 0.500), Pb at (0.000, 0.500, 0.500) and Cl at (0.500, 0.500, 0.000).

Its uncorrected formation energy is 0.66 eV/atom.


[23]
The following is a PBE calculation of an optimized crystal structure of TlMo2PbCl, from the Alexandria database.

It has space group P4/mmm (No. 123), with a = 4.566 Å, b = 4.566 Å, c = 5.735 Å, α = 90.00°, β = 90.00° and γ = 90.00°. The distinct sites, in fractional coordinates, are Tl at (0.000, 0.000, 0.000), Mo at (0.000, 0.500, 0.500), Pb at (0.500, 0.500, 0.000) and Cl at (0.000, 0.000, 0.500).

Its uncorrected formation energy is 1.17 eV/atom.


[24]
The following is a PBE calculation of an optimized crystal structure of TlMoPb2Cl, from the Alexandria database.

It has space group P4/mmm (No. 123), with a = 5.896 Å, b = 5.896 Å, c = 5.440 Å, α = 90.00°, β = 90.00° and γ = 90.00°. The distinct sites, in fractional coordinates, are Tl at (0.000, 0.000, 0.000), Mo at (0.500, 0.500, 0.500), Pb at (0.000, 0.500, 0.000) and Cl at (0.000, 0.000, 0.500).

Its uncorrected formation energy is 1.13 eV/atom.


[25]
The following is a PBE calculation of an optimized crystal structure of VMoPb2Cl, from the Alexandria database.

It has space group P4/mmm (No. 123), with a = 5.639 Å, b = 5.639 Å, c = 4.467 Å, α = 90.00°, β = 90.00° and γ = 90.00°. The distinct sites, in fractional coordinates, are V at (0.000, 0.000, 0.000), Mo at (0.500, 0.500, 0.500), Pb at (0.000, 0.500, 0.000) and Cl at (0.000, 0.000, 0.500).

Its uncorrected formation energy is 0.92 eV/atom.


[26]
The following is a PBE calculation of an optimized crystal structure of MoPb2WCl, from the Alexandria database.

It has space group P4/mmm (No. 123), with a = 5.553 Å, b = 5.553 Å, c = 4.467 Å, α = 90.00°, β = 90.00° and γ = 90.00°. The distinct sites, in fractional coordinates, are Mo at (0.000, 0.000, 0.000), Pb at (0.000, 0.500, 0.000), W at (0.500, 0.500, 0.500) and Cl at (0.000, 0.000, 0.500).

Its uncorrected formation energy is 1.43 eV/atom.


[27]
The following is a PBE calculation of an optimized crystal structure of MoPdCl2, from the Alexandria database.

It has space group I-42d (No. 122), with a = 5.455 Å, b = 5.455 Å, c = 11.635 Å, α = 90.00°, β = 90.00° and γ = 90.00°. The distinct sites, in fractional coordinates, are Mo at (0.000, 0.000, 0.000), Pd at (0.000, 0.000, 0.500) and Cl at (0.224, 0.250, 0.125).

The polymorph energy (0 for the lowest one) is 510 meV per atom. Its uncorrected formation energy is 0.49 eV/atom.


[28]
The following is a PBE calculation of an optimized crystal structure of MoPdCl3, from the Alexandria database.

It has space group Pm-3m (No. 221), with a = 4.893 Å, b = 4.893 Å, c = 4.893 Å, α = 90.00°, β = 90.00° and γ = 90.00°. The distinct sites, in fractional coordinates, are Mo at (0.000, 0.000, 0.000), Pd at (0.500, 0.500, 0.500) and Cl at (0.000, 0.500, 0.500).

The polymorph energy (0 for the lowest one) is 281 meV per atom. Its uncorrected formation energy is 0.39 eV/atom.


[29]
The following is a PBE calculation of an optimized crystal structure of MoPd3Cl, from the Alexandria database.

It has space group Pm-3m (No. 221), with a = 4.843 Å, b = 4.843 Å, c = 4.843 Å, α = 90.00°, β = 90.00° and γ = 90.00°. The distinct sites, in fractional coordinates, are Mo at (0.000, 0.000, 0.000), Pd at (0.000, 0.000, 0.500) and Cl at (0.500, 0.500, 0.500).

The polymorph energy (0 for the lowest one) is 171 meV per atom. Its uncorrected formation energy is 1.07 eV/atom.